{
  "formula": "Tb2InI3",
  "functional": "PBE",
  "state": "optimized geometry",
  "final_energy_ev_per_cell": -44.05,
  "magnetic_moment_mub_per_atom": 0.0000,
  "dos_ef_per_ev_cell": 4.51,
  "raw_formation_energy_ev_per_atom": -0.896,
  "spacegroup": "C2/m, No. 12",
  "crystal_system": "monoclinic",
  "density_g_cm3": 5.25,
  "cell": [[10.742, -2.036, 0.000], [10.742, 2.036, 0.000], [-10.463, 0.000, 11.768]],
  "species": ["Tb", "Tb", "Tb", "Tb", "In", "In", "I", "I", "I", "I", "I", "I"],
  "frac_coords": [[0.101, 0.101, 0.244], [0.373, 0.373, 0.072], [0.627, 0.627, 0.928], [0.899, 0.899, 0.756], [0.074, 0.074, 0.020], [0.926, 0.926, 0.980], [0.187, 0.187, 0.842], [0.259, 0.259, 0.642], [0.461, 0.461, 0.673], [0.539, 0.539, 0.327], [0.741, 0.741, 0.358], [0.813, 0.813, 0.158]]
}